1.
! Rb2YRe (PBE, optimized geometry); values from VASP
! calculated formation energy: 1.886 eV/atom
! E above lowest polymorph: 410 meV/atom
! energy: -3.33 eV per atom
! SG: Fm-3m (225)
&SYSTEM
  ibrav = 0, nat = 4, ntyp = 3
/
ATOMIC_SPECIES
Rb 85.47 Rb.upf
Y 88.91 Y.upf
Re 186.21 Re.upf
ATOMIC_POSITIONS crystal
Rb 0.2500 0.2500 0.2500
Rb 0.7500 0.7500 0.7500
Y 0.0000 0.0000 0.0000
Re 0.5000 0.5000 0.5000
CELL_PARAMETERS angstrom
0.0000 4.1361 4.1361
4.1361 0.0000 4.1361
4.1361 4.1361 0.0000



2.
! RbZn3Re (PBE, optimized geometry); values from VASP
! calculated formation energy: 0.565 eV/atom
! E above lowest polymorph: 0 meV/atom
! energy: -2.88 eV per atom
! SG: Pm-3m (221)
&SYSTEM
  ibrav = 0, nat = 5, ntyp = 3
/
ATOMIC_SPECIES
Rb 85.47 Rb.upf
Zn 65.41 Zn.upf
Re 186.21 Re.upf
ATOMIC_POSITIONS crystal
Rb 0.0000 0.0000 0.0000
Zn 0.0000 0.5000 0.5000
Zn 0.5000 0.0000 0.5000
Zn 0.5000 0.5000 0.0000
Re 0.5000 0.5000 0.5000
CELL_PARAMETERS angstrom
5.0202 0.0000 0.0000
0.0000 5.0202 0.0000
0.0000 0.0000 5.0202



3.
! RbZn2Re (PBE, optimized geometry); values from VASP
! calculated formation energy: 1.282 eV/atom
! E above lowest polymorph: 235 meV/atom
! energy: -2.71 eV per atom
! SG: Fm-3m (225)
&SYSTEM
  ibrav = 0, nat = 4, ntyp = 3
/
ATOMIC_SPECIES
Rb 85.47 Rb.upf
Zn 65.41 Zn.upf
Re 186.21 Re.upf
ATOMIC_POSITIONS crystal
Rb 0.0000 0.0000 0.0000
Zn 0.2500 0.2500 0.2500
Zn 0.7500 0.7500 0.7500
Re 0.5000 0.5000 0.5000
CELL_PARAMETERS angstrom
0.0000 3.5008 3.5008
3.5008 0.0000 3.5008
3.5008 3.5008 0.0000



4.
! Rb2ZnRe (PBE, optimized geometry); values from VASP
! calculated formation energy: 1.679 eV/atom
! energy: -2.24 eV per atom
! SG: I-42d (122)
&SYSTEM
  ibrav = 0, nat = 8, ntyp = 3
/
ATOMIC_SPECIES
Rb 85.47 Rb.upf
Zn 65.41 Zn.upf
Re 186.21 Re.upf
ATOMIC_POSITIONS crystal
Rb 0.1249 0.6250 0.9999
Rb 0.3750 0.3749 0.4999
Rb 0.6251 0.1250 0.0001
Rb 0.8750 0.8751 0.5001
Zn 0.0000 0.0000 0.0000
Zn 0.7500 0.2500 0.5000
Re 0.2500 0.7500 0.5000
Re 0.5000 0.5000 0.0000
CELL_PARAMETERS angstrom
-2.0884 2.0884 12.0444
2.0884 -2.0884 12.0444
2.0884 2.0884 -12.0444



5.
! RbZnRe2 (PBE, optimized geometry); values from VASP
! calculated formation energy: 1.601 eV/atom
! energy: -5.18 eV per atom
! SG: I-42d (122)
&SYSTEM
  ibrav = 0, nat = 8, ntyp = 3
/
ATOMIC_SPECIES
Rb 85.47 Rb.upf
Zn 65.41 Zn.upf
Re 186.21 Re.upf
ATOMIC_POSITIONS crystal
Rb 0.0000 0.0000 0.0000
Rb 0.7500 0.2500 0.5000
Zn 0.2500 0.7500 0.5000
Zn 0.5000 0.5000 0.0000
Re 0.3008 0.6250 0.1758
Re 0.3750 0.5508 0.6758
Re 0.4492 0.1250 0.8242
Re 0.8750 0.6992 0.3242
CELL_PARAMETERS angstrom
-2.2983 2.2983 9.6225
2.2983 -2.2983 9.6225
2.2983 2.2983 -9.6225



6.
! RbZn3Re (PBE, optimized geometry); values from VASP
! calculated formation energy: 2.099 eV/atom
! E above lowest polymorph: 1534 meV/atom
! energy: -1.35 eV per atom
! SG: Pm-3m (221)
&SYSTEM
  ibrav = 0, nat = 5, ntyp = 3
/
ATOMIC_SPECIES
Rb 85.47 Rb.upf
Zn 65.41 Zn.upf
Re 186.21 Re.upf
ATOMIC_POSITIONS crystal
Rb 0.0000 0.0000 0.0000
Zn 0.0000 0.0000 0.5000
Zn 0.0000 0.5000 0.0000
Zn 0.5000 0.0000 0.0000
Re 0.5000 0.5000 0.5000
CELL_PARAMETERS angstrom
6.2938 0.0000 0.0000
0.0000 6.2938 0.0000
0.0000 0.0000 6.2938



7.
! RbZn2Re (PBE, optimized geometry); values from VASP
! calculated formation energy: 1.047 eV/atom
! E above lowest polymorph: 0 meV/atom
! energy: -2.94 eV per atom
! SG: I4_1/amd (141)
&SYSTEM
  ibrav = 0, nat = 8, ntyp = 3
/
ATOMIC_SPECIES
Rb 85.47 Rb.upf
Zn 65.41 Zn.upf
Re 186.21 Re.upf
ATOMIC_POSITIONS crystal
Rb 0.3750 0.6250 0.7500
Rb 0.6250 0.3750 0.2500
Zn 0.0000 0.0000 0.0000
Zn 0.0000 0.0000 0.5000
Zn 0.0000 0.5000 0.0000
Zn 0.5000 0.0000 0.5000
Re 0.1250 0.8750 0.2500
Re 0.8750 0.1250 0.7500
CELL_PARAMETERS angstrom
-2.6925 2.6925 8.6101
2.6925 -2.6925 8.6101
2.6925 2.6925 -8.6101



8.
! RbZrZnRe2 (PBE, optimized geometry); values from VASP
! calculated formation energy: 1.794 eV/atom
! energy: -5.34 eV per atom
! SG: P4/mmm (123)
&SYSTEM
  ibrav = 0, nat = 5, ntyp = 4
/
ATOMIC_SPECIES
Rb 85.47 Rb.upf
Zr 91.22 Zr.upf
Zn 65.41 Zn.upf
Re 186.21 Re.upf
ATOMIC_POSITIONS crystal
Rb 0.0000 0.0000 0.0000
Zr 0.5000 0.5000 0.5000
Zn 0.5000 0.5000 0.0000
Re 0.0000 0.5000 0.5000
Re 0.5000 0.0000 0.5000
CELL_PARAMETERS angstrom
5.0630 0.0000 0.0000
0.0000 5.0630 0.0000
0.0000 0.0000 5.5829